DFT (PBE) results for a relaxed K3Sn4Bi2 crystal. Values from VASP.

Results
Total DFT energy (no corrections): -3.2139 eV per atom
N(E_F): 1.64 states/eV/f.u.
SG: P-1 (2)
ΔH_f (0 K): -0.21 eV/atom

```
&SYSTEM
  ibrav = 0, nat = 9, ntyp = 3
/
ATOMIC_SPECIES
Sn 118.71 Sn.upf
Bi 208.98 Bi.upf
K 39.10 K.upf
CELL_PARAMETERS angstrom
-1.127 2.221 -3.959
3.283 -3.581 -5.700
-7.784 -6.206 -3.377
ATOMIC_POSITIONS crystal
Sn 0.947 0.506 0.654
Sn 0.053 0.494 0.346
Sn 0.310 0.421 0.931
Sn 0.690 0.579 0.069
Bi 0.697 0.250 0.290
K 0.628 0.144 0.643
K 0.372 0.856 0.357
K 0.000 0.000 0.000
Bi 0.303 0.750 0.710
```



DFT (PBE) results for a relaxed K2SnBi crystal. Values from VASP.

Results
Total DFT energy (no corrections): -2.5153 eV per atom
N(E_F): 3.12 states/eV/f.u.
ΔE to the lowest computed polymorph: 0.363 eV/atom
SG: I-42d (122)
ΔH_f (0 K): 0.00 eV/atom

```
&SYSTEM
  ibrav = 0, nat = 8, ntyp = 3
/
ATOMIC_SPECIES
K 39.10 K.upf
Bi 208.98 Bi.upf
Sn 118.71 Sn.upf
CELL_PARAMETERS angstrom
10.042 0.000 0.000
0.000 10.042 0.000
5.021 5.021 3.129
ATOMIC_POSITIONS crystal
K 0.875 0.881 0.750
Bi 0.000 0.000 0.000
Sn 0.250 0.750 0.500
K 0.631 0.125 0.250
Sn 0.500 0.500 0.000
K 0.119 0.625 0.250
Bi 0.750 0.250 0.500
K 0.375 0.369 0.750
```



Which of these has the lowest ΔH_f (0 K)?
K3Sn4Bi2